# 1
# ErScPd14, optimized geometry, DFT PBE
data_ErScPd14
_cell_length_a 5.679
_cell_length_b 5.679
_cell_length_c 7.980
_cell_angle_alpha 90.00
_cell_angle_beta 90.00
_cell_angle_gamma 90.00
_symmetry_space_group_name_H-M 'P 4/m m m'
_symmetry_Int_Tables_number 123
_symmetry_space_group_name_Hall '-P 4 2'
loop_
_atom_site_label
_atom_site_type_symbol
_atom_site_fract_x
_atom_site_fract_y
_atom_site_fract_z
Er1 Er 0.000 0.000 0.000
Sc1 Sc 0.500 0.500 0.000
Pd1 Pd 0.000 0.000 0.500
Pd2 Pd 0.000 0.500 0.000
Pd3 Pd 0.000 0.500 0.500
Pd4 Pd 0.252 0.252 0.253
Pd5 Pd 0.500 0.500 0.500
# Energy of formation: -421.3 meV per atom
# Uncorrected energy: -5.646 eV per atom
# V: 16.09 A^3/atom
# N(E_F): 23.894 states/eV/f.u.
# Crystal system: tetragonal


# 2
# SnO, optimized geometry, DFT PBE
data_SnO
_cell_length_a 4.541
_cell_length_b 5.457
_cell_length_c 12.505
_cell_angle_alpha 90.00
_cell_angle_beta 90.00
_cell_angle_gamma 90.00
_symmetry_space_group_name_H-M 'C m c 21'
_symmetry_Int_Tables_number 36
_symmetry_space_group_name_Hall 'C 2c -2'
loop_
_atom_site_label
_atom_site_type_symbol
_atom_site_fract_x
_atom_site_fract_y
_atom_site_fract_z
Sn1 Sn 0.000 0.041 0.000
Sn2 Sn 0.000 0.396 0.223
O1 O 0.000 0.007 0.173
O2 O 0.000 0.429 0.050
# Uncorrected energy: -5.641 eV per atom
# V: 19.37 A^3/atom
# E_form (uncorrected): -1160 meV per atom
# N(E_F): 0.000 states/eV/f.u.
# Crystal system: orthorhombic


# 3
# LiCa2Cu2, optimized geometry, DFT PBE
data_LiCa2Cu2
_cell_length_a 8.290
_cell_length_b 8.290
_cell_length_c 3.456
_cell_angle_alpha 90.00
_cell_angle_beta 90.00
_cell_angle_gamma 90.00
_symmetry_space_group_name_H-M 'P 4/m b m'
_symmetry_Int_Tables_number 127
_symmetry_space_group_name_Hall '-P 4 2ab'
loop_
_atom_site_label
_atom_site_type_symbol
_atom_site_fract_x
_atom_site_fract_y
_atom_site_fract_z
Li1 Li 0.000 0.000 0.000
Ca1 Ca 0.171 0.329 0.000
Cu1 Cu 0.113 0.613 0.500
# Energy of formation: 78.2 meV per atom
# Uncorrected energy: -2.744 eV per atom
# V: 23.75 A^3/atom
# N(E_F): 3.034 states/eV/f.u.
# Crystal system: tetragonal


# 4
# Ba3C2, optimized geometry, DFT PBE
data_Ba3C2
_cell_length_a 4.3175
_cell_length_b 4.3175
_cell_length_c 10.7554
_cell_angle_alpha 90.00
_cell_angle_beta 90.00
_cell_angle_gamma 120.00
_symmetry_space_group_name_H-M 'P -3 m 1'
_symmetry_Int_Tables_number 164
_symmetry_space_group_name_Hall '-P 3 2"'
loop_
_atom_site_label
_atom_site_type_symbol
_atom_site_fract_x
_atom_site_fract_y
_atom_site_fract_z
Ba1 Ba 0.0000 0.0000 0.0000
Ba2 Ba 0.3333 0.6667 0.2905
C1 C 0.3333 0.6667 0.8313
# Energy of formation: 912.1 meV per atom
# Uncorrected energy: -3.931 eV per atom
# V: 34.73 A^3/atom
# N(E_F): 4.489 states/eV/f.u.
# Crystal system: trigonal


# 5
# AcNd4Tl6, optimized geometry, DFT PBE
data_AcNd4Tl6
_cell_length_a 8.811
_cell_length_b 8.811
_cell_length_c 10.743
_cell_angle_alpha 90.00
_cell_angle_beta 90.00
_cell_angle_gamma 90.00
_symmetry_space_group_name_H-M 'I -4 2 m'
_symmetry_Int_Tables_number 121
_symmetry_space_group_name_Hall 'I -4 2'
loop_
_atom_site_label
_atom_site_type_symbol
_atom_site_fract_x
_atom_site_fract_y
_atom_site_fract_z
Ac1 Ac 0.000 0.000 0.000
Nd1 Nd 0.189 0.189 0.422
Tl1 Tl 0.000 0.500 0.000
Tl2 Tl 0.136 0.136 0.717
# Energy of formation: 40.4 meV per atom
# Uncorrected energy: -3.358 eV per atom
# V: 37.91 A^3/atom
# N(E_F): 11.139 states/eV/f.u.
# Crystal system: tetragonal


# 6
# Nd4SmTm4, optimized geometry, DFT PBE
data_Nd4SmTm4
_cell_length_a 10.786
_cell_length_b 10.786
_cell_length_c 5.054
_cell_angle_alpha 90.00
_cell_angle_beta 90.00
_cell_angle_gamma 90.00
_symmetry_space_group_name_H-M 'I 4/m m m'
_symmetry_Int_Tables_number 139
_symmetry_space_group_name_Hall '-I 4 2'
loop_
_atom_site_label
_atom_site_type_symbol
_atom_site_fract_x
_atom_site_fract_y
_atom_site_fract_z
Nd1 Nd 0.000 0.330 0.000
Sm1 Sm 0.000 0.000 0.000
Tm1 Tm 0.166 0.166 0.500
# Energy of formation: 22.2 meV per atom
# Uncorrected energy: -4.608 eV per atom
# V: 32.67 A^3/atom
# N(E_F): 12.931 states/eV/f.u.
# Crystal system: tetragonal


# 7
# Hf2Mo2Pb, optimized geometry, DFT PBE
data_Hf2Mo2Pb
_cell_length_a 7.745
_cell_length_b 7.745
_cell_length_c 3.441
_cell_angle_alpha 90.00
_cell_angle_beta 90.00
_cell_angle_gamma 90.00
_symmetry_space_group_name_H-M 'P 4/m b m'
_symmetry_Int_Tables_number 127
_symmetry_space_group_name_Hall '-P 4 2ab'
loop_
_atom_site_label
_atom_site_type_symbol
_atom_site_fract_x
_atom_site_fract_y
_atom_site_fract_z
Hf1 Hf 0.187 0.313 0.000
Mo1 Mo 0.105 0.605 0.500
Pb1 Pb 0.000 0.000 0.500
# Energy of formation: 191.1 meV per atom
# Uncorrected energy: -8.864 eV per atom
# V: 20.64 A^3/atom
# N(E_F): 3.890 states/eV/f.u.
# Crystal system: tetragonal


# 8
# YMg11Pd, optimized geometry, DFT PBE
data_YMg11Pd
_cell_length_a 5.636
_cell_length_b 14.411
_cell_length_c 7.651
_cell_angle_alpha 90.00
_cell_angle_beta 110.44
_cell_angle_gamma 90.00
_symmetry_space_group_name_H-M 'C 1 2/m 1'
_symmetry_Int_Tables_number 12
_symmetry_space_group_name_Hall '-C 2y'
loop_
_atom_site_label
_atom_site_type_symbol
_atom_site_fract_x
_atom_site_fract_y
_atom_site_fract_z
Y1 Y 0.000 0.000 0.000
Mg1 Mg 0.000 0.000 0.500
Mg2 Mg 0.096 0.398 0.218
Mg3 Mg 0.188 0.169 0.360
Mg4 Mg 0.250 0.250 0.000
Pd1 Pd 0.000 0.500 0.500
# Energy of formation: -147.6 meV per atom
# Uncorrected energy: -2.394 eV per atom
# V: 22.40 A^3/atom
# N(E_F): 6.581 states/eV/f.u.
# Crystal system: monoclinic


> Look up the N(E_F) of the second one.

0.000 states/eV/f.u.


> Which of these has the highest N(E_F)?

ErScPd14